Entry 1:
The following is a DFT calculation (PBE) of a relaxed structure of Li2AgSbW.

a = 4.487 Å, b = 4.487 Å, c = 5.260 Å
α = 90.00°, β = 90.00°, γ = 90.00°
Space group P4/mmm (No. 123)
Asymmetric unit:
Li1 0.000 0.500 0.000 [2 per cell]
Ag1 0.000 0.000 0.000 [1 per cell]
Sb1 0.000 0.000 0.500 [1 per cell]
W1 0.500 0.500 0.500 [1 per cell]

As for the uncorrected formation energy: 1.013 eV per atom.

Entry 2:
The following is a DFT calculation (PBE) of a relaxed structure of LiYAgSb.

a = 7.130 Å, b = 7.130 Å, c = 7.130 Å
α = 90.00°, β = 90.00°, γ = 90.00°
Space group F-43m (No. 216)
Asymmetric unit:
Li1 0.000 0.000 0.000 [4 per cell]
Y1 0.000 0.000 0.500 [4 per cell]
Ag1 0.250 0.250 0.250 [4 per cell]
Sb1 0.250 0.250 0.750 [4 per cell]

As for the uncorrected formation energy: -0.542 eV per atom.

Entry 3:
The following is a DFT calculation (PBE) of a relaxed structure of LiY2AgSb.

a = 5.773 Å, b = 5.773 Å, c = 5.219 Å
α = 90.00°, β = 90.00°, γ = 90.00°
Space group P4/mmm (No. 123)
Asymmetric unit:
Li1 0.000 0.000 0.000 [1 per cell]
Y1 0.000 0.500 0.500 [2 per cell]
Ag1 0.500 0.500 0.000 [1 per cell]
Sb1 0.500 0.500 0.500 [1 per cell]

As for the uncorrected formation energy: 0.166 eV per atom.

Entry 4:
The following is a DFT calculation (PBE) of a relaxed structure of LiZnAgSb2.

a = 5.205 Å, b = 5.205 Å, c = 4.692 Å
α = 90.00°, β = 90.00°, γ = 90.00°
Space group P4/mmm (No. 123)
Asymmetric unit:
Li1 0.000 0.000 0.000 [1 per cell]
Zn1 0.000 0.000 0.500 [1 per cell]
Ag1 0.500 0.500 0.000 [1 per cell]
Sb1 0.000 0.500 0.500 [2 per cell]

As for the uncorrected formation energy: 0.343 eV per atom.